(1)
Compound: V2Cu2Ni7
Source: the Alexandria database
Functional: PBE
Structure: relaxed

Unit cell a=5.682 b=5.682 c=4.229 alpha=97.59 beta=97.59 gamma=81.67
Atoms (fractional coordinates):
V: 0.207 0.793 0.000
V: 0.793 0.207 0.000
Cu: 0.249 0.249 0.231
Cu: 0.751 0.751 0.769
Ni: 0.000 0.000 0.500
Ni: 0.040 0.396 0.730
Ni: 0.396 0.040 0.730
Ni: 0.451 0.451 0.728
Ni: 0.549 0.549 0.272
Ni: 0.604 0.960 0.270
Ni: 0.960 0.604 0.270

formation enthalpy at 0 K = 1.88 eV/f.u.
DOS at the Fermi energy = 12.367 states/eV per cell
total DFT energy (no corrections) = -65.02 eV/cell
density = 7.986 g cm⁻³

---

(2)
Compound: VCu3Ni12
Source: the Alexandria database
Functional: PBE
Structure: relaxed

Unit cell a=3.545 b=3.545 c=14.153 alpha=90.00 beta=90.00 gamma=90.00
Atoms (fractional coordinates):
V: 0.000 0.000 0.000
Cu: 0.000 0.000 0.251
Cu: 0.000 0.000 0.500
Cu: 0.000 0.000 0.749
Ni: 0.000 0.500 0.123
Ni: 0.000 0.500 0.375
Ni: 0.000 0.500 0.625
Ni: 0.000 0.500 0.877
Ni: 0.500 0.000 0.123
Ni: 0.500 0.000 0.375
Ni: 0.500 0.000 0.625
Ni: 0.500 0.000 0.877
Ni: 0.500 0.500 0.000
Ni: 0.500 0.500 0.250
Ni: 0.500 0.500 0.500
Ni: 0.500 0.500 0.750

formation enthalpy at 0 K = -0.65 eV/f.u.
DOS at the Fermi energy = 20.416 states/eV per cell
total DFT energy (no corrections) = -91.43 eV/cell
density = 8.832 g cm⁻³

---

Number 1: spin magnetization 0.00 μB per cell. Number 2: spin magnetization 4.14 μB per cell.